A relaxed Al3InRu crystal, computed with PBE.

a = 4.786 Å, b = 4.786 Å, c = 4.786 Å
α = 90.00°, β = 90.00°, γ = 90.00°
Fractional positions:
Ru 0.000 0.000 0.000
In 0.500 0.500 0.500
Al 0.000 0.500 0.000
Al 0.500 0.000 0.000
Al 0.000 0.000 0.500

Summary:
symmetry = No. 221
excess energy over the best structure of this formula in the dataset = 0 meV/atom
energy relative to the elements = -0.042 eV/atom